1.
{"formula": "HfCu3Si2", "functional": "PBE", "state": "relaxed", "dos_at_fermi_per_ev_cell": 3.0, "total_magnetization_mub_per_cell": 0.000, "formation_energy_uncorrected_ev_per_atom": -0.31, "space_group": "C2/m", "dft_energy_ev_per_atom": -5.827, "cell": [[3.7975, 0.0000, 0.0000], [-1.8988, 6.5088, -2.8327], [0.0000, -0.4333, 7.0582]], "species": ["Hf", "Hf", "Cu", "Cu", "Cu", "Cu", "Cu", "Cu", "Si", "Si", "Si", "Si"], "frac_coords": [[0.8574, 0.7147, 0.9360], [0.1426, 0.2853, 0.0640], [0.6074, 0.2148, 0.7126], [0.3125, 0.6250, 0.5387], [0.3926, 0.7852, 0.2874], [0.6875, 0.3750, 0.4613], [0.9558, 0.9117, 0.6190], [0.0442, 0.0883, 0.3810], [0.2038, 0.4076, 0.7176], [0.7962, 0.5924, 0.2824], [0.5193, 0.0386, 0.1729], [0.4807, 0.9614, 0.8271]]}

***

2.
{"formula": "CsNdSe4", "functional": "PBE", "state": "relaxed", "total_magnetization_mub_per_cell": 0.000, "formation_energy_uncorrected_ev_per_atom": -1.18, "space_group": "P4/nbm", "dft_energy_ev_per_atom": -4.440, "cell": [[6.4369, 0.0000, 0.0000], [0.0000, 6.4369, 0.0000], [0.0000, 0.0000, 9.1581]], "species": ["Cs", "Cs", "Nd", "Nd", "Se", "Se", "Se", "Se", "Se", "Se", "Se", "Se"], "frac_coords": [[0.0000, 0.0000, 0.5000], [0.5000, 0.5000, 0.5000], [0.0000, 0.0000, 0.0000], [0.5000, 0.5000, 0.0000], [0.1336, 0.6336, 0.1950], [0.6336, 0.1336, 0.8050], [0.8664, 0.3664, 0.1950], [0.8664, 0.6336, 0.8050], [0.6336, 0.8664, 0.1950], [0.3664, 0.8664, 0.8050], [0.1336, 0.3664, 0.8050], [0.3664, 0.1336, 0.1950]]}

***

3.
{"formula": "CoSbHPd2", "functional": "PBE", "state": "relaxed", "dos_at_fermi_per_ev_cell": 3.3, "total_magnetization_mub_per_cell": 1.060, "space_group": "P4/mmm", "dft_energy_ev_per_atom": -5.091, "cell": [[-3.7043, 0.9071, -1.2715], [0.7437, -1.8537, -3.4889], [-1.3669, -3.4335, 1.5329]], "species": ["Pd", "Pd", "Co", "Sb", "H"], "frac_coords": [[0.0000, 0.5000, 0.0000], [0.5000, 0.0000, 0.0000], [0.0000, 0.0000, 0.5000], [0.5000, 0.5000, 0.5000], [0.0000, 0.0000, 0.0000]]}

***

4.
{"formula": "BeSn2Mo2", "functional": "PBE", "state": "relaxed", "formation_energy_ev_per_atom": 0.632, "e_above_lowest_polymorph_mev_per_atom": 0, "dos_at_fermi_per_ev_cell": 1.8, "total_magnetization_mub_per_cell": 0.000, "space_group": "P4/mbm", "dft_energy_ev_per_atom": -6.047, "cell": [[6.9339, 0.0000, 0.0000], [0.0000, 6.9339, 0.0000], [0.0000, 0.0000, 3.7480]], "species": ["Mo", "Mo", "Mo", "Mo", "Sn", "Sn", "Sn", "Sn", "Be", "Be"], "frac_coords": [[0.3432, 0.1568, 0.5000], [0.8432, 0.3432, 0.5000], [0.6568, 0.8432, 0.5000], [0.1568, 0.6568, 0.5000], [0.6479, 0.1479, 0.0000], [0.3521, 0.8521, 0.0000], [0.8521, 0.6479, 0.0000], [0.1479, 0.3521, 0.0000], [0.0000, 0.0000, 0.0000], [0.5000, 0.5000, 0.0000]]}

***

5.
{"formula": "Pm7GaSe5", "functional": "PBE", "state": "relaxed", "dos_at_fermi_per_ev_cell": 17.2, "total_magnetization_mub_per_cell": 0.000, "formation_energy_uncorrected_ev_per_atom": -1.50, "space_group": "C2/m", "dft_energy_ev_per_atom": -5.635, "cell": [[4.1346, 0.0000, 0.0000], [-2.0673, 6.9083, 0.0053], [0.0000, -0.0409, 24.9062]], "species": ["Se", "Se", "Se", "Se", "Se", "Se", "Se", "Se", "Se", "Se", "Pm", "Pm", "Pm", "Pm", "Pm", "Pm", "Pm", "Pm", "Pm", "Pm", "Pm", "Pm", "Pm", "Pm", "Ga", "Ga"], "frac_coords": [[0.2765, 0.5530, 0.0721], [0.0001, 0.0002, 0.5000], [0.0004, 0.0009, 0.0000], [0.2759, 0.5519, 0.4279], [0.4481, 0.8963, 0.6430], [0.5531, 0.1061, 0.1430], [0.4478, 0.8956, 0.8570], [0.5522, 0.1043, 0.3570], [0.7244, 0.4488, 0.9279], [0.7243, 0.4487, 0.5721], [0.8098, 0.6197, 0.6794], [0.6387, 0.2775, 0.0366], [0.5310, 0.0620, 0.7500], [0.1905, 0.3810, 0.3206], [0.4696, 0.9392, 0.2499], [0.1915, 0.3830, 0.1796], [0.0906, 0.1813, 0.6135], [0.3621, 0.7241, 0.5366], [0.9106, 0.8211, 0.1133], [0.9096, 0.8191, 0.3864], [0.8093, 0.6187, 0.8204], [0.3622, 0.7243, 0.9635], [0.0903, 0.1806, 0.8867], [0.6382, 0.2764, 0.4634], [0.1916, 0.3833, 0.7496], [0.8090, 0.6179, 0.2506]]}

***

6.
{"formula": "NaTbSn2S4", "functional": "PBE", "state": "relaxed", "total_magnetization_mub_per_cell": 0.000, "formation_energy_uncorrected_ev_per_atom": -1.06, "space_group": "P2/m", "dft_energy_ev_per_atom": -4.865, "cell": [[4.0650, 0.0000, 0.0000], [0.0000, 7.1350, -0.2335], [0.0000, 2.4226, 6.5602]], "species": ["S", "S", "S", "S", "Sn", "Sn", "Tb", "Na"], "frac_coords": [[0.5000, 0.2670, 0.7351], [0.0000, 0.2578, 0.2608], [0.5000, 0.7330, 0.2649], [0.0000, 0.7422, 0.7392], [0.5000, 0.0000, 0.5000], [0.0000, 0.0000, 0.0000], [0.0000, 0.5000, 0.5000], [0.5000, 0.5000, 0.0000]]}

***

7.
{"formula": "BiIrC2S", "functional": "PBE", "state": "relaxed", "dos_at_fermi_per_ev_cell": 2.6, "total_magnetization_mub_per_cell": 0.000, "formation_energy_uncorrected_ev_per_atom": 1.23, "space_group": "P4/mmm", "dft_energy_ev_per_atom": -5.830, "cell": [[-2.5426, 2.8808, -1.0420], [0.4471, -1.4486, -5.0956], [-3.0451, -2.5247, 0.4506]], "species": ["Ir", "C", "C", "Bi", "S"], "frac_coords": [[0.0000, 0.0000, 0.0000], [0.5000, 0.0000, 0.0000], [0.0000, 0.0000, 0.5000], [0.5000, 0.5000, 0.5000], [0.0000, 0.5000, 0.0000]]}

***

8.
{"formula": "PRuBr", "functional": "PBE", "state": "relaxed", "e_above_lowest_polymorph_mev_per_atom": 0, "total_magnetization_mub_per_cell": 0.000, "formation_energy_uncorrected_ev_per_atom": -0.30, "space_group": "P2_1/c", "dft_energy_ev_per_atom": -5.750, "cell": [[-1.4721, 3.8984, 4.1825], [-5.7173, 1.1981, -3.1290], [-0.9771, -4.6782, 4.0165]], "species": ["Br", "Br", "Br", "Br", "Ru", "Ru", "Ru", "Ru", "P", "P", "P", "P"], "frac_coords": [[0.6417, 0.1328, 0.3421], [0.1417, 0.8672, 0.1579], [0.3583, 0.8672, 0.6579], [0.8583, 0.1328, 0.8421], [0.9628, 0.7155, 0.7430], [0.4628, 0.2845, 0.7570], [0.0372, 0.2845, 0.2570], [0.5372, 0.7155, 0.2430], [0.1545, 0.4065, 0.6163], [0.3455, 0.4065, 0.1163], [0.6545, 0.5935, 0.8837], [0.8455, 0.5935, 0.3837]]}